# Mg3ICl PBE relaxed
# Calculated total energy = -6.7 eV per cell
# Total magnetization = 0.000 μB/f.u.
data_Mg3ICl
_chemical_formula_sum 'Mg3 I1 Cl1'
_symmetry_space_group_name_H-M 'P m -3 m'
_symmetry_Int_Tables_number 221
_symmetry_space_group_name_Hall '-P 4 2 3'
_cell_length_a 6.1042
_cell_length_b 6.1042
_cell_length_c 6.1042
_cell_angle_alpha 90.00
_cell_angle_beta 90.00
_cell_angle_gamma 90.00
loop_
_atom_site_label
_atom_site_fract_x
_atom_site_fract_y
_atom_site_fract_z
_atom_site_occupancy
Mg1 0.0000 0.0000 0.5000 1
I1 0.0000 0.0000 0.0000 1
Cl1 0.5000 0.5000 0.5000 1